Density functional theory data (PBE) for an optimized crystal structure of Fe2SnSb2.

Unit cell a=3.9461 b=3.9461 c=8.1935 alpha=90.00 beta=90.00 gamma=120.00
With the nearest neighbours (Å) after each atom.
Positions (direct):
Fe1 0.3333 0.6667 0.4259  3 Fe 2.58, 4 Sb 2.60-2.66
Fe2 0.6667 0.3333 0.5741  3 Fe 2.58, 4 Sb 2.60-2.66
Sn1 0.0000 0.0000 0.0000  6 Sb 3.10
Sb1 0.3333 0.6667 0.7427  4 Fe 2.60-2.66
Sb2 0.6667 0.3333 0.2573  4 Fe 2.60-2.66

Values from the calculation:
total magnetization: 0.969 μB per atom
uncorrected energy: -0.203 hartree per atom
volume: 22.10 Å³/atom